Entry 1:
Below is Fe17Ni12 at its PBEsol-relaxed geometry, with properties calculated at the SCAN level.

Cell and atoms, written as extended XYZ:
```
29
Lattice="7.4603 0.0000 0.0000 -2.4868 7.0336 0.0000 -2.4868 -3.5168 6.0913" Properties=species:S:1:pos:R:3 pbc="T T T"
Ni -3.5606 1.5349 4.9282
Ni -1.0738 5.0518 1.1631
Fe -0.8859 -1.2529 2.1700
Fe -2.2689 0.1203 3.6356
Ni -3.5606 3.5005 3.7934
Ni 1.4130 -0.0164 2.2979
Ni 2.6340 5.6906 0.0000
Ni -1.0738 -1.5186 4.9565
Ni 2.6340 -2.8453 4.9282
Ni 1.4130 1.9982 1.1348
Fe 3.6680 -1.1097 1.9220
Fe 0.0000 0.0000 0.0000
Fe 3.6680 2.2193 0.0000
Ni -0.4864 1.3267 2.2979
Fe 2.7047 3.8250 1.7136
Fe -0.8859 2.5057 0.0000
Ni 4.4871 4.3802 0.0000
Fe 0.2179 0.3082 4.3777
Fe 0.8697 4.1980 0.0000
Fe 2.6577 0.0000 0.0000
Fe 3.3565 1.4178 2.4557
Fe 2.7047 -0.4285 4.1693
Ni 4.4871 -2.1901 3.7934
Fe 1.6009 2.2639 3.9213
Fe -2.2689 3.0884 1.9220
Ni 5.1208 0.6715 1.1631
Fe 0.8697 -2.0990 3.6356
Fe 0.2179 3.6371 2.4557
Fe -1.3055 2.4072 4.1693
```

Results
Symmetry: I-43m, No. 217
Total DFT energy (no corrections), eV per atom: -17.377
Magnetic moment, Bohr magnetons per cell: 56.63

***

Entry 2:
Below is Fe4Ni5 at its PBEsol-relaxed geometry, with properties calculated at the SCAN level.

Cell and atoms, written as extended XYZ:
```
9
Lattice="3.4261 0.0000 0.0000 1.7130 5.3114 0.0000 1.7130 0.0000 5.3114" Properties=species:S:1:pos:R:3 pbc="T T T"
Fe 1.7130 1.7461 3.5653
Fe 3.4261 3.5653 3.5653
Fe 1.7130 3.5653 1.7461
Ni 0.0000 0.0000 0.0000
Ni 3.4261 3.5507 0.0000
Ni 1.7130 1.7608 0.0000
Ni 1.7130 0.0000 1.7608
Ni 3.4261 0.0000 3.5507
Fe 3.4261 1.7461 1.7461
```

Results
Symmetry: I4/mmm, No. 139
Total DFT energy (no corrections), eV per atom: -17.158
Magnetic moment, Bohr magnetons per cell: 15.16

***

Entry 3:
Below is FeNi3 at its PBEsol-relaxed geometry, with properties calculated at the SCAN level.

Cell and atoms, written as extended XYZ:
```
8
Lattice="-0.1904 -2.5870 3.0393 -0.1996 -3.7544 -3.2083 4.3718 1.6133 1.6471" Properties=species:S:1:pos:R:3 pbc="T T T"
Ni 2.7090 -2.7004 -0.8155
Fe 2.8004 -0.8227 0.7885
Fe 1.1814 -3.9055 0.6897
Ni 0.6106 -1.6235 -0.0304
Ni 1.2728 -2.0277 2.2937
Ni 0.5102 -3.5118 -1.6440
Ni 3.4716 -1.2163 3.1222
Ni 3.3712 -3.1046 1.5086
```

Results
Symmetry: P6_3/mmc, No. 194
Total DFT energy (no corrections), eV per atom: -16.805
Magnetic moment, Bohr magnetons per cell: 10.51

***

Entry 4:
Below is Fe2Ni3 at its PBEsol-relaxed geometry, with properties calculated at the SCAN level.

Cell and atoms, written as extended XYZ:
```
10
Lattice="-3.1726 2.3241 -1.8486 -0.3391 -0.1398 -4.7016 -2.0760 -5.8405 1.3276" Properties=species:S:1:pos:R:3 pbc="T T T"
Fe -0.9915 -0.1991 -2.3279
Ni -2.2294 -2.2416 -2.2824
Ni -4.5235 -2.0775 -3.4706
Ni -3.2470 0.0204 -3.0239
Ni -0.2287 0.1675 -0.1333
Fe -2.2436 -1.6521 -4.5595
Fe -4.1050 -1.4466 -1.1066
Ni -3.0631 0.4019 -5.4136
Ni -3.1211 -3.6210 -0.1566
Fe -3.7709 -4.0616 -2.4138
```

Results
ΔE to the lowest computed polymorph, meV/atom: 0
Symmetry: Fdd2, No. 43
Total DFT energy (no corrections), eV per atom: -17.016
Magnetic moment, Bohr magnetons per cell: 16.05

***

Entry 5:
Below is Fe3Ni at its PBEsol-relaxed geometry, with properties calculated at the SCAN level.

Cell and atoms, written as extended XYZ:
```
4
Lattice="2.8881 0.0000 0.0000 0.0000 3.9110 0.0000 -1.4440 -1.9555 3.9037" Properties=species:S:1:pos:R:3 pbc="T T T"
Fe 1.4440 1.9555 1.9781
Ni 0.0000 1.9555 0.0000
Fe 1.4440 0.0000 0.0000
Fe 0.0000 0.0000 1.9256
```

Results
Symmetry: Immm, No. 71
Total DFT energy (no corrections), eV per atom: -17.714
Magnetic moment, Bohr magnetons per cell: 9.00

***

Entry 6:
Below is Fe3Ni at its PBEsol-relaxed geometry, with properties calculated at the SCAN level.

Cell and atoms, written as extended XYZ:
```
4
Lattice="2.4118 0.0568 0.0000 -0.7440 2.2949 0.0000 0.0000 0.0000 7.7743" Properties=species:S:1:pos:R:3 pbc="T T T"
Fe 0.0000 0.0000 1.9648
Fe 0.8339 1.1758 0.0000
Fe 0.0000 0.0000 5.8094
Ni 0.8339 1.1758 3.8871
```

Results
Symmetry: Cmmm, No. 65
Total DFT energy (no corrections), eV per atom: -17.694
Magnetic moment, Bohr magnetons per cell: 8.57

***

Entry 7:
Below is Fe2NiO4 at its PBEsol-relaxed geometry, with properties calculated at the SCAN level.

Cell and atoms, written as extended XYZ:
```
14
Lattice="5.7356 0.0000 0.0000 2.8678 4.9698 0.0635 2.8678 1.7042 4.6689" Properties=species:S:1:pos:R:3 pbc="T T T"
Fe 2.8678 0.0000 0.0000
Fe 8.6034 3.4043 4.1442
Ni 1.4339 0.8521 2.3344
Fe 5.7356 3.3370 2.3662
Ni 4.3017 0.8521 2.3344
O 8.6034 5.1647 3.5645
O 4.4330 4.1886 1.2398
Fe 2.8678 3.2697 0.5883
O 5.7356 4.9385 3.4040
O 7.0382 2.4854 3.4926
O 5.7356 1.7355 1.3284
O 4.4330 2.4854 3.4926
O 7.0382 4.1886 1.2398
O 2.8678 1.5092 1.1680
```

Results
Symmetry: Imma, No. 74
Total DFT energy (no corrections), eV per atom: -12.613
Magnetic moment, Bohr magnetons per cell: 8.00

***

Entry 8:
Below is FeNi3P4O16 at its PBEsol-relaxed geometry, with properties calculated at the SCAN level.

Cell and atoms, written as extended XYZ:
```
24
Lattice="5.5824 0.0000 0.7247 0.0000 5.1352 0.0000 0.8034 0.0000 11.2955" Properties=species:S:1:pos:R:3 pbc="T T T"
O 4.7734 3.8638 0.8219
O 5.0931 2.5676 9.7295
O 5.6374 0.0000 2.8653
O 1.1800 3.8444 4.1999
O 3.9579 0.0000 4.9370
O 0.5795 2.5676 2.0531
P 4.5908 0.0000 1.7689
O 4.7734 1.2714 0.8219
Ni 0.6530 2.5676 0.1321
P 1.0043 2.5676 9.0205
O 1.1800 1.2907 4.1999
O 5.6584 0.0000 6.7919
O 3.5473 3.8624 7.6537
O 3.1406 0.0000 2.2302
P 3.0482 2.5676 6.8069
Ni 2.4496 0.0000 3.9622
O 5.0091 2.5676 3.2387
O 2.8438 1.4372 11.4311
Ni 4.1677 2.5676 11.5996
O 1.4817 2.5676 7.5165
Fe 5.6442 0.0000 4.8833
O 2.8438 3.6980 11.4311
P 4.6050 0.0000 7.9218
O 3.5473 1.2728 7.6537
```

Results
Symmetry: Pm, No. 6
Total DFT energy (no corrections), eV per atom: -9.821
Magnetic moment, Bohr magnetons per cell: 6.52

***

Number 1: DOS(E_F) 0.80 states/eV per atom. Number 2: DOS(E_F) 0.89 states/eV per atom. Number 3: DOS(E_F) 0.56 states/eV per atom. Number 4: DOS(E_F) 0.69 states/eV per atom. Number 5: DOS(E_F) 0.77 states/eV per atom. Number 6: DOS(E_F) 0.73 states/eV per atom. Number 7: DOS(E_F) 0.01 states/eV per atom. Number 8: DOS(E_F) 0.19 states/eV per atom.